An optimized crystal structure of TcRu3, computed with PBE.

Output
Space-group type   R-3m
Magnetic moment   0.00 Bohr magnetons per cell
DOS(E_F)   7.6 states/eV/f.u.
Total energy   -9.026 eV/atom

Cell lengths 5.0799, 5.0799, 5.0799 Å; angles 117.01, 117.01, 117.01 degrees
Atoms (fractional coordinates):
1 Tc 0.0000 0.0000 0.0000
2 Ru 0.0000 0.5000 0.5000
3 Ru 0.5000 0.0000 0.5000
4 Ru 0.5000 0.5000 0.0000

***

An optimized crystal structure of TcRu5, computed with PBE.

Output
Space-group type   P6/mmm
Magnetic moment   0.87 Bohr magnetons per cell
Energy above the most stable polymorph in this dataset   0.821 eV per atom
DOS(E_F)   10.4 states/eV/f.u.

Cell lengths 4.9890, 4.9890, 4.3523 Å; angles 90.00, 90.00, 120.00 degrees
Atoms (fractional coordinates):
1 Tc 0.0000 0.0000 0.0000
2 Ru 0.0000 0.5000 0.5000
3 Ru 0.3333 0.6667 0.0000
4 Ru 0.5000 0.0000 0.5000
5 Ru 0.5000 0.5000 0.5000
6 Ru 0.6667 0.3333 0.0000

***

An optimized crystal structure of Tc4Ru5, computed with PBE.

Output
Space-group type   I4/mmm
Magnetic moment   0.00 Bohr magnetons per cell
Energy above the most stable polymorph in this dataset   0.000 eV per atom
DOS(E_F)   12.0 states/eV/f.u.

Cell lengths 6.0861, 6.0861, 6.0861 Å; angles 95.71, 95.71, 143.24 degrees
Atoms (fractional coordinates):
1 Tc 0.0000 0.3316 0.3316
2 Tc 0.0000 0.6684 0.6684
3 Tc 0.3316 0.0000 0.3316
4 Tc 0.6684 0.0000 0.6684
5 Ru 0.0000 0.0000 0.0000
6 Ru 0.3335 0.3335 0.6669
7 Ru 0.3335 0.6665 0.0000
8 Ru 0.6665 0.3335 0.0000
9 Ru 0.6665 0.6665 0.3331

***

An optimized crystal structure of Tc4Ru5, computed with PBE.

Output
Space-group type   P6_3/mcm
Magnetic moment   0.00 Bohr magnetons per cell
Energy above the most stable polymorph in this dataset   0.038 eV per atom
DOS(E_F)   8.8 states/eV/f.u.

Cell lengths 7.4378, 7.4378, 5.4225 Å; angles 90.00, 90.00, 120.00 degrees
Atoms (fractional coordinates):
1 Tc 0.0000 0.0000 0.0000
2 Tc 0.0000 0.0000 0.5000
3 Tc 0.0000 0.3321 0.2500
4 Tc 0.0000 0.6679 0.7500
5 Tc 0.3321 0.0000 0.2500
6 Tc 0.3321 0.3321 0.7500
7 Tc 0.6679 0.0000 0.7500
8 Tc 0.6679 0.6679 0.2500
9 Ru 0.0000 0.3339 0.7500
10 Ru 0.0000 0.6661 0.2500
11 Ru 0.3333 0.6667 0.0000
12 Ru 0.3333 0.6667 0.5000
13 Ru 0.3339 0.0000 0.7500
14 Ru 0.3339 0.3339 0.2500
15 Ru 0.6661 0.0000 0.2500
16 Ru 0.6661 0.6661 0.7500
17 Ru 0.6667 0.3333 0.0000
18 Ru 0.6667 0.3333 0.5000

***

What did the second record say?
An optimized crystal structure of TcRu5, computed with PBE.

Output
Space-group type   P6/mmm
Magnetic moment   0.87 Bohr magnetons per cell
Energy above the most stable polymorph in this dataset   0.821 eV per atom
DOS(E_F)   10.4 states/eV/f.u.

Cell lengths 4.9890, 4.9890, 4.3523 Å; angles 90.00, 90.00, 120.00 degrees
Atoms (fractional coordinates):
1 Tc 0.0000 0.0000 0.0000
2 Ru 0.0000 0.5000 0.5000
3 Ru 0.3333 0.6667 0.0000
4 Ru 0.5000 0.0000 0.5000
5 Ru 0.5000 0.5000 0.5000
6 Ru 0.6667 0.3333 0.0000